Entry from the Alexandria database: crystalline Ba2Ti3Se8 at its relaxed geometry (PBE).

Energy, eV/atom: -5.5877

Cell: 8.6341 8.6341 6.6910 Å, 105.39 105.39 52.09°
Closest atoms and distances in Å follow each position.
Element x y z (fractional)
Ba  0.2445  0.2445  0.1819  6 Se 3.20-3.25
Ba  0.7555  0.7555  0.8181  6 Se 3.20-3.25
Ti  0.2389  0.7611  0.5000  6 Se 2.51-2.70
Ti  0.5000  0.5000  0.0000  6 Se 2.57-2.58
Ti  0.7611  0.2389  0.5000  6 Se 2.51-2.70
Se  0.1058  0.1058  0.4612  2 Ti 2.51
Se  0.1666  0.6467  0.1104  2 Ti 2.57-2.59
Se  0.3533  0.8334  0.8896  2 Ti 2.57-2.59
Se  0.4050  0.4050  0.6124  3 Ti 2.58-2.70
Se  0.5950  0.5950  0.3876  3 Ti 2.58-2.70
Se  0.6467  0.1666  0.1104  2 Ti 2.57-2.59
Se  0.8334  0.3533  0.8896  2 Ti 2.57-2.59
Se  0.8942  0.8942  0.5388  2 Ti 2.51



Entry from the Alexandria database: crystalline BaTi4Se8 at its relaxed geometry (PBE).

E above lowest polymorph, eV/f.u.: 0.00

Cell: 9.0164 9.0164 9.0164 Å, 47.05 47.05 47.05°
Closest atoms and distances in Å follow each position.
Element x y z (fractional)
Ba  0.0000  0.0000  0.0000  6 Se 3.24
Ti  0.0000  0.0000  0.5000  6 Se 2.58-2.60
Ti  0.0000  0.5000  0.0000  6 Se 2.58-2.60
Ti  0.5000  0.0000  0.0000  6 Se 2.58-2.60
Ti  0.5000  0.5000  0.5000  6 Se 2.56
Se  0.2303  0.2303  0.2303  3 Ti 2.58
Se  0.2357  0.7284  0.7284  3 Ti 2.56-2.60
Se  0.2716  0.2716  0.7643  3 Ti 2.56-2.60
Se  0.2716  0.7643  0.2716  3 Ti 2.56-2.60
Se  0.7284  0.2357  0.7284  3 Ti 2.56-2.60
Se  0.7284  0.7284  0.2357  3 Ti 2.56-2.60
Se  0.7643  0.2716  0.2716  3 Ti 2.56-2.60
Se  0.7697  0.7697  0.7697  3 Ti 2.58



Entry from the Alexandria database: crystalline BaTi6Se12 at its relaxed geometry (PBE).

Energy, eV/atom: -5.6671

Cell: 7.9556 7.9556 7.9556 Å, 107.03 107.03 107.03°
Closest atoms and distances in Å follow each position.
Element x y z (fractional)
Ba  0.0000  0.0000  0.0000  6 Se 3.56
Ti  0.2703  0.2703  0.6560  5 Se 2.53-2.70
Ti  0.2703  0.6560  0.2703  5 Se 2.53-2.70
Ti  0.3440  0.7297  0.7297  5 Se 2.53-2.70
Ti  0.6560  0.2703  0.2703  5 Se 2.53-2.70
Ti  0.7297  0.3440  0.7297  5 Se 2.53-2.70
Ti  0.7297  0.7297  0.3440  5 Se 2.53-2.70
Se  0.1199  0.5000  0.8801  4 Ti 2.70-2.93
Se  0.1199  0.8801  0.5000  4 Ti 2.70-2.93
Se  0.1573  0.4230  0.4230  3 Ti 2.53-2.59
Se  0.4230  0.1573  0.4230  3 Ti 2.53-2.59
Se  0.4230  0.4230  0.1573  3 Ti 2.53-2.59
Se  0.5000  0.1199  0.8801  4 Ti 2.70-2.93
Se  0.5000  0.8801  0.1199  4 Ti 2.70-2.93
Se  0.5770  0.5770  0.8427  3 Ti 2.53-2.59
Se  0.5770  0.8427  0.5770  3 Ti 2.53-2.59
Se  0.8427  0.5770  0.5770  3 Ti 2.53-2.59
Se  0.8801  0.1199  0.5000  4 Ti 2.70-2.93
Se  0.8801  0.5000  0.1199  4 Ti 2.70-2.93



Entry from the Alexandria database: crystalline Ba3TiSe at its relaxed geometry (PBE).

E above lowest polymorph, eV/f.u.: 0.00

Cell: 6.2942 6.2942 6.2942 Å, 90.00 90.00 90.00°
Closest atoms and distances in Å follow each position.
Element x y z (fractional)
Ba  0.0000  0.0000  0.5000  2 Se 3.15
Ba  0.0000  0.5000  0.0000  2 Se 3.15
Ba  0.5000  0.0000  0.0000  2 Se 3.15
Ti  0.5000  0.5000  0.5000  12 Ba 4.45
Se  0.0000  0.0000  0.0000  6 Ba 3.15



Entry from the Alexandria database: crystalline BaTiSe2 at its relaxed geometry (PBE).

E above lowest polymorph, eV/f.u.: 0.75

Cell: 7.3756 7.3756 7.3756 Å, 90.00 90.00 90.00°
Closest atoms and distances in Å follow each position.
Element x y z (fractional)
Ba  0.0000  0.0000  0.0000  8 Se 3.19
Ba  0.0000  0.5000  0.5000  8 Se 3.19
Ba  0.5000  0.0000  0.5000  8 Se 3.19
Ba  0.5000  0.5000  0.0000  8 Se 3.19
Ti  0.0000  0.0000  0.5000  8 Se 3.19
Ti  0.0000  0.5000  0.0000  8 Se 3.19
Ti  0.5000  0.0000  0.0000  8 Se 3.19
Ti  0.5000  0.5000  0.5000  8 Se 3.19
Se  0.2500  0.2500  0.2500  4 Ba 3.19, 4 Ti 3.19
Se  0.2500  0.2500  0.7500  4 Ba 3.19, 4 Ti 3.19
Se  0.2500  0.7500  0.2500  4 Ba 3.19, 4 Ti 3.19
Se  0.2500  0.7500  0.7500  4 Ba 3.19, 4 Ti 3.19
Se  0.7500  0.2500  0.2500  4 Ba 3.19, 4 Ti 3.19
Se  0.7500  0.2500  0.7500  4 Ba 3.19, 4 Ti 3.19
Se  0.7500  0.7500  0.2500  4 Ba 3.19, 4 Ti 3.19
Se  0.7500  0.7500  0.7500  4 Ba 3.19, 4 Ti 3.19



Entry from the Alexandria database: crystalline Ba3Ti5Se12 at its relaxed geometry (PBE).

Energy, eV/atom: -5.6660

Cell: 14.4126 14.4126 14.4126 Å, 109.47 109.47 109.47°
Closest atoms and distances in Å follow each position.
Element x y z (fractional)
Ba  0.1250  0.2500  0.3750  8 Se 3.32-3.42
Ba  0.1250  0.3750  0.7500  8 Se 3.32-3.42
Ba  0.2500  0.3750  0.1250  8 Se 3.32-3.42
Ba  0.2500  0.8750  0.6250  8 Se 3.32-3.42
Ba  0.3750  0.1250  0.2500  8 Se 3.32-3.42
Ba  0.3750  0.7500  0.1250  8 Se 3.32-3.42
Ba  0.6250  0.2500  0.8750  8 Se 3.32-3.42
Ba  0.6250  0.8750  0.7500  8 Se 3.32-3.42
Ba  0.7500  0.1250  0.3750  8 Se 3.32-3.42
Ba  0.7500  0.6250  0.8750  8 Se 3.32-3.42
Ba  0.8750  0.6250  0.2500  8 Se 3.32-3.42
Ba  0.8750  0.7500  0.6250  8 Se 3.32-3.42
Ti  0.0000  0.0000  0.0000  6 Se 2.63
Ti  0.0000  0.0000  0.5000  6 Se 2.63
Ti  0.0000  0.5000  0.0000  6 Se 2.63
Ti  0.0000  0.5000  0.5000  6 Se 2.63
Ti  0.1250  0.7500  0.8750  4 Se 2.41
Ti  0.1250  0.8750  0.2500  4 Se 2.41
Ti  0.2500  0.1250  0.8750  4 Se 2.41
Ti  0.2500  0.6250  0.3750  4 Se 2.41
Ti  0.3750  0.2500  0.6250  4 Se 2.41
Ti  0.3750  0.6250  0.7500  4 Se 2.41
Ti  0.5000  0.0000  0.0000  6 Se 2.63
Ti  0.5000  0.0000  0.5000  6 Se 2.63
Ti  0.5000  0.5000  0.0000  6 Se 2.63
Ti  0.5000  0.5000  0.5000  6 Se 2.63
Ti  0.6250  0.3750  0.2500  4 Se 2.41
Ti  0.6250  0.7500  0.3750  4 Se 2.41
Ti  0.7500  0.3750  0.6250  4 Se 2.41
Ti  0.7500  0.8750  0.1250  4 Se 2.41
Ti  0.8750  0.1250  0.7500  4 Se 2.41
Ti  0.8750  0.2500  0.1250  4 Se 2.41
Se  0.0116  0.1943  0.1077  2 Ti 2.41-2.63
Se  0.0116  0.3173  0.9038  2 Ti 2.41-2.63
Se  0.0866  0.6943  0.6827  2 Ti 2.41-2.63
Se  0.0866  0.8923  0.4038  2 Ti 2.41-2.63
Se  0.0962  0.6077  0.4134  2 Ti 2.41-2.63
Se  0.0962  0.9884  0.6827  2 Ti 2.41-2.63
Se  0.1077  0.0116  0.1943  2 Ti 2.41-2.63
Se  0.1077  0.5962  0.9134  2 Ti 2.41-2.63
Se  0.1827  0.1943  0.5866  2 Ti 2.41-2.63
Se  0.1827  0.4884  0.5962  2 Ti 2.41-2.63
Se  0.1943  0.1077  0.0116  2 Ti 2.41-2.63
Se  0.1943  0.5866  0.1827  2 Ti 2.41-2.63
Se  0.3057  0.3173  0.9134  2 Ti 2.41-2.63
Se  0.3057  0.4884  0.3923  2 Ti 2.41-2.63
Se  0.3173  0.9038  0.0116  2 Ti 2.41-2.63
Se  0.3173  0.9134  0.3057  2 Ti 2.41-2.63
Se  0.3923  0.3057  0.4884  2 Ti 2.41-2.63
Se  0.3923  0.5866  0.9038  2 Ti 2.41-2.63
Se  0.4038  0.0866  0.8923  2 Ti 2.41-2.63
Se  0.4038  0.8173  0.5116  2 Ti 2.41-2.63
Se  0.4134  0.0962  0.6077  2 Ti 2.41-2.63
Se  0.4134  0.8173  0.8057  2 Ti 2.41-2.63
Se  0.4884  0.3923  0.3057  2 Ti 2.41-2.63
Se  0.4884  0.5962  0.1827  2 Ti 2.41-2.63
Se  0.5116  0.4038  0.8173  2 Ti 2.41-2.63
Se  0.5116  0.6077  0.6943  2 Ti 2.41-2.63
Se  0.5866  0.1827  0.1943  2 Ti 2.41-2.63
Se  0.5866  0.9038  0.3923  2 Ti 2.41-2.63
Se  0.5962  0.1827  0.4884  2 Ti 2.41-2.63
Se  0.5962  0.9134  0.1077  2 Ti 2.41-2.63
Se  0.6077  0.4134  0.0962  2 Ti 2.41-2.63
Se  0.6077  0.6943  0.5116  2 Ti 2.41-2.63
Se  0.6827  0.0866  0.6943  2 Ti 2.41-2.63
Se  0.6827  0.0962  0.9884  2 Ti 2.41-2.63
Se  0.6943  0.5116  0.6077  2 Ti 2.41-2.63
Se  0.6943  0.6827  0.0866  2 Ti 2.41-2.63
Se  0.8057  0.4134  0.8173  2 Ti 2.41-2.63
Se  0.8057  0.8923  0.9884  2 Ti 2.41-2.63
Se  0.8173  0.5116  0.4038  2 Ti 2.41-2.63
Se  0.8173  0.8057  0.4134  2 Ti 2.41-2.63
Se  0.8923  0.4038  0.0866  2 Ti 2.41-2.63
Se  0.8923  0.9884  0.8057  2 Ti 2.41-2.63
Se  0.9038  0.0116  0.3173  2 Ti 2.41-2.63
Se  0.9038  0.3923  0.5866  2 Ti 2.41-2.63
Se  0.9134  0.1077  0.5962  2 Ti 2.41-2.63
Se  0.9134  0.3057  0.3173  2 Ti 2.41-2.63
Se  0.9884  0.6827  0.0962  2 Ti 2.41-2.63
Se  0.9884  0.8057  0.8923  2 Ti 2.41-2.63



Entry from the Alexandria database: crystalline Ba2Ti2Se5 at its relaxed geometry (PBE).

Energy, eV/atom: -5.5500

Cell: 7.4022 7.4022 7.8769 Å, 108.34 108.34 40.57°
Closest atoms and distances in Å follow each position.
Element x y z (fractional)
Ba  0.1008  0.1008  0.3010  7 Se 3.27-3.46
Ba  0.8992  0.8992  0.6990  7 Se 3.27-3.46
Ti  0.3347  0.3347  0.0988  5 Se 2.44-2.66
Ti  0.6653  0.6653  0.9012  5 Se 2.44-2.66
Se  0.1523  0.1523  0.9071  3 Ti 2.48-2.57
Se  0.3500  0.3500  0.4163  1 Ti 2.44
Se  0.5000  0.5000  0.0000  2 Ti 2.66
Se  0.6500  0.6500  0.5837  1 Ti 2.44
Se  0.8477  0.8477  0.0929  3 Ti 2.48-2.57



Entry from the Alexandria database: crystalline Ba2TiSe3 at its relaxed geometry (PBE).

Energy, eV/atom: -5.2432

Cell: 4.4812 5.0571 16.7961 Å, 90.00 90.00 90.00°
Closest atoms and distances in Å follow each position.
Element x y z (fractional)
Ba  0.0000  0.0000  0.1465  7 Se 3.30-3.38
Ba  0.0000  0.0000  0.8535  7 Se 3.30-3.38
Ba  0.5000  0.5000  0.3535  7 Se 3.30-3.38
Ba  0.5000  0.5000  0.6465  7 Se 3.30-3.38
Ti  0.0000  0.0000  0.5000  4 Se 2.53-2.64
Ti  0.5000  0.5000  0.0000  4 Se 2.53-2.64
Se  0.0000  0.0000  0.3430  1 Ti 2.64
Se  0.0000  0.0000  0.6570  1 Ti 2.64
Se  0.0000  0.5000  0.5000  2 Ti 2.53
Se  0.5000  0.0000  0.0000  2 Ti 2.53
Se  0.5000  0.5000  0.1570  1 Ti 2.64
Se  0.5000  0.5000  0.8430  1 Ti 2.64